1.
# Cu7Pt5, optimized geometry, DFT PBEsol
data_Cu7Pt5
_chemical_formula_sum 'Cu14 Pt10'
_cell_length_a 4.563
_cell_length_b 7.948
_cell_length_c 8.764
_cell_angle_alpha 90.00
_cell_angle_beta 100.24
_cell_angle_gamma 90.00
_symmetry_space_group_name_H-M 'C 1 2 1'
_symmetry_Int_Tables_number 5
_symmetry_space_group_name_Hall 'C 2y'
loop_
_atom_site_label
_atom_site_type_symbol
_atom_site_fract_x
_atom_site_fract_y
_atom_site_fract_z
_atom_site_occupancy
Cu1 Cu 0.000 0.000 0.000 1
Cu2 Cu 0.000 0.170 0.500 1
Cu3 Cu 0.000 0.502 0.500 1
Cu4 Cu 0.247 0.501 0.253 1
Cu5 Cu 0.249 0.834 0.254 1
Pt1 Pt 0.000 0.337 0.000 1
Pt2 Pt 0.000 0.668 0.000 1
Pt3 Pt 0.000 0.842 0.500 1
Pt4 Pt 0.244 0.162 0.255 1
# DOS(E_F)	0.658	states/eV per atom
# energy relative to the lowest polymorph listed for this composition	0.51	kcal/mol of atoms
# formation energy	-113	kJ/mol of formula units


2.
# Cu7Pt5, optimized geometry, DFT PBEsol
data_Cu7Pt5
_chemical_formula_sum 'Cu14 Pt10'
_cell_length_a 8.786
_cell_length_b 8.081
_cell_length_c 4.487
_cell_angle_alpha 90.00
_cell_angle_beta 101.30
_cell_angle_gamma 90.00
_symmetry_space_group_name_H-M 'C 1 2/m 1'
_symmetry_Int_Tables_number 12
_symmetry_space_group_name_Hall '-C 2y'
loop_
_atom_site_label
_atom_site_type_symbol
_atom_site_fract_x
_atom_site_fract_y
_atom_site_fract_z
_atom_site_occupancy
Cu1 Cu 0.000 0.000 0.000 1
Cu2 Cu 0.000 0.330 0.000 1
Cu3 Cu 0.248 0.169 0.251 1
Pt1 Pt 0.000 0.167 0.500 1
Pt2 Pt 0.000 0.500 0.500 1
Pt3 Pt 0.247 0.500 0.233 1
# DOS(E_F)	0.572	states/eV per atom
# energy relative to the lowest polymorph listed for this composition	0.35	kcal/mol of atoms
# formation energy	-122	kJ/mol of formula units


3.
# Cu4Pt5, optimized geometry, DFT PBEsol
data_Cu4Pt5
_chemical_formula_sum 'Cu8 Pt10'
_cell_length_a 7.973
_cell_length_b 7.973
_cell_length_c 3.838
_cell_angle_alpha 90.00
_cell_angle_beta 90.00
_cell_angle_gamma 90.00
_symmetry_space_group_name_H-M 'I 4/m m m'
_symmetry_Int_Tables_number 139
_symmetry_space_group_name_Hall '-I 4 2'
loop_
_atom_site_label
_atom_site_type_symbol
_atom_site_fract_x
_atom_site_fract_y
_atom_site_fract_z
_atom_site_occupancy
Cu1 Cu 0.000 0.340 0.000 1
Pt1 Pt 0.000 0.000 0.000 1
Pt2 Pt 0.170 0.170 0.500 1
# DOS(E_F)	0.762	states/eV per atom
# energy relative to the lowest polymorph listed for this composition	0.08	kcal/mol of atoms
# formation energy	-73	kJ/mol of formula units


4.
# Cu5Pt3, optimized geometry, DFT PBEsol
data_Cu5Pt3
_chemical_formula_sum 'Cu15 Pt9'
_cell_length_a 5.3186
_cell_length_b 5.3186
_cell_length_c 12.6898
_cell_angle_alpha 90.00
_cell_angle_beta 90.00
_cell_angle_gamma 120.00
_symmetry_space_group_name_H-M 'R -3 m'
_symmetry_Int_Tables_number 166
_symmetry_space_group_name_Hall '-R 3 2"'
loop_
_atom_site_label
_atom_site_type_symbol
_atom_site_fract_x
_atom_site_fract_y
_atom_site_fract_z
_atom_site_occupancy
Cu1 Cu 0.0000 0.0000 0.0000 1
Cu2 Cu 0.0000 0.0000 0.5000 1
Cu3 Cu 0.0000 0.5000 0.0000 1
Pt1 Pt 0.0000 0.5000 0.5000 1
# DOS(E_F)	0.507	states/eV per atom
# formation energy	-90	kJ/mol of formula units


5.
# Cu4Pt3, optimized geometry, DFT PBEsol
data_Cu4Pt3
_chemical_formula_sum 'Cu8 Pt6'
_cell_length_a 2.688
_cell_length_b 3.637
_cell_length_c 18.691
_cell_angle_alpha 90.00
_cell_angle_beta 90.00
_cell_angle_gamma 90.00
_symmetry_space_group_name_H-M 'I m m 2'
_symmetry_Int_Tables_number 44
_symmetry_space_group_name_Hall 'I 2 -2'
loop_
_atom_site_label
_atom_site_type_symbol
_atom_site_fract_x
_atom_site_fract_y
_atom_site_fract_z
_atom_site_occupancy
Cu1 Cu 0.000 0.000 0.000 1
Cu2 Cu 0.000 0.000 0.133 1
Cu3 Cu 0.000 0.000 0.566 1
Cu4 Cu 0.000 0.000 0.857 1
Pt1 Pt 0.000 0.000 0.284 1
Pt2 Pt 0.000 0.000 0.430 1
Pt3 Pt 0.000 0.000 0.702 1
# DOS(E_F)	0.734	states/eV per atom
# energy relative to the lowest polymorph listed for this composition	0.20	kcal/mol of atoms
# formation energy	-54	kJ/mol of formula units


6.
# Cu7Pt5, optimized geometry, DFT PBEsol
data_Cu7Pt5
_chemical_formula_sum 'Cu7 Pt5'
_cell_length_a 2.6745
_cell_length_b 2.6745
_cell_length_c 25.2953
_cell_angle_alpha 90.00
_cell_angle_beta 90.00
_cell_angle_gamma 120.00
_symmetry_space_group_name_H-M 'P 3 m 1'
_symmetry_Int_Tables_number 156
_symmetry_space_group_name_Hall 'P 3 -2"'
loop_
_atom_site_label
_atom_site_type_symbol
_atom_site_fract_x
_atom_site_fract_y
_atom_site_fract_z
_atom_site_occupancy
Cu1 Cu 0.0000 0.0000 0.0000 1
Cu2 Cu 0.0000 0.0000 0.2451 1
Cu3 Cu 0.0000 0.0000 0.5076 1
Cu4 Cu 0.0000 0.0000 0.7537 1
Cu5 Cu 0.3333 0.6667 0.0766 1
Cu6 Cu 0.3333 0.6667 0.8308 1
Cu7 Cu 0.6667 0.3333 0.6765 1
Pt1 Pt 0.3333 0.6667 0.3287 1
Pt2 Pt 0.3333 0.6667 0.5920 1
Pt3 Pt 0.6667 0.3333 0.1608 1
Pt4 Pt 0.6667 0.3333 0.4240 1
Pt5 Pt 0.6667 0.3333 0.9154 1
# DOS(E_F)	0.586	states/eV per atom
# energy relative to the lowest polymorph listed for this composition	0.78	kcal/mol of atoms
# formation energy	-100	kJ/mol of formula units


7.
# Cu4Pt3, optimized geometry, DFT PBEsol
data_Cu4Pt3
_chemical_formula_sum 'Cu8 Pt6'
_cell_length_a 2.742
_cell_length_b 2.742
_cell_length_c 24.047
_cell_angle_alpha 90.00
_cell_angle_beta 90.00
_cell_angle_gamma 90.00
_symmetry_space_group_name_H-M 'I 4/m m m'
_symmetry_Int_Tables_number 139
_symmetry_space_group_name_Hall '-I 4 2'
loop_
_atom_site_label
_atom_site_type_symbol
_atom_site_fract_x
_atom_site_fract_y
_atom_site_fract_z
_atom_site_occupancy
Cu1 Cu 0.000 0.000 0.072 1
Cu2 Cu 0.000 0.000 0.364 1
Pt1 Pt 0.000 0.000 0.208 1
Pt2 Pt 0.000 0.000 0.500 1
# DOS(E_F)	0.631	states/eV per atom
# energy relative to the lowest polymorph listed for this composition	0.01	kcal/mol of atoms
# formation energy	-60	kJ/mol of formula units


8.
# CuPt2, optimized geometry, DFT PBEsol
data_CuPt2
_chemical_formula_sum 'Cu4 Pt8'
_cell_length_a 6.019
_cell_length_b 3.847
_cell_length_c 7.585
_cell_angle_alpha 90.00
_cell_angle_beta 108.07
_cell_angle_gamma 90.00
_symmetry_space_group_name_H-M 'P 1 2/m 1'
_symmetry_Int_Tables_number 10
_symmetry_space_group_name_Hall '-P 2y'
loop_
_atom_site_label
_atom_site_type_symbol
_atom_site_fract_x
_atom_site_fract_y
_atom_site_fract_z
_atom_site_occupancy
Cu1 Cu 0.161 0.000 0.156 1
Cu2 Cu 0.161 0.500 0.925 1
Pt1 Pt 0.160 0.500 0.405 1
Pt2 Pt 0.162 0.000 0.677 1
Pt3 Pt 0.496 0.500 0.243 1
Pt4 Pt 0.500 0.000 0.000 1
Pt5 Pt 0.500 0.000 0.500 1
# DOS(E_F)	0.817	states/eV per atom
# formation energy	-22	kJ/mol of formula units


9.
# Cu4Pt3, optimized geometry, DFT PBEsol
data_Cu4Pt3
_chemical_formula_sum 'Cu12 Pt9'
_cell_length_a 6.9819
_cell_length_b 6.9819
_cell_length_c 6.5155
_cell_angle_alpha 90.00
_cell_angle_beta 90.00
_cell_angle_gamma 120.00
_symmetry_space_group_name_H-M 'R 3'
_symmetry_Int_Tables_number 146
_symmetry_space_group_name_Hall 'R 3'
loop_
_atom_site_label
_atom_site_type_symbol
_atom_site_fract_x
_atom_site_fract_y
_atom_site_fract_z
_atom_site_occupancy
Cu1 Cu 0.0000 0.0000 0.0000 1
Cu2 Cu 0.0463 0.2342 0.6716 1
Pt1 Pt 0.1424 0.7201 0.0033 1
# DOS(E_F)	0.721	states/eV per atom
# energy relative to the lowest polymorph listed for this composition	0.00	kcal/mol of atoms
# formation energy	-60	kJ/mol of formula units


10.
# CuPt2, optimized geometry, DFT PBEsol
data_CuPt2
_chemical_formula_sum 'Cu2 Pt4'
_cell_length_a 2.705
_cell_length_b 3.788
_cell_length_c 8.172
_cell_angle_alpha 90.00
_cell_angle_beta 90.00
_cell_angle_gamma 90.00
_symmetry_space_group_name_H-M 'I m m m'
_symmetry_Int_Tables_number 71
_symmetry_space_group_name_Hall '-I 2 2'
loop_
_atom_site_label
_atom_site_type_symbol
_atom_site_fract_x
_atom_site_fract_y
_atom_site_fract_z
_atom_site_occupancy
Cu1 Cu 0.000 0.000 0.000 1
Pt1 Pt 0.000 0.000 0.337 1
# DOS(E_F)	1.505	states/eV per atom
# formation energy	-14	kJ/mol of formula units


11.
# Cu7Pt5, optimized geometry, DFT PBEsol
data_Cu7Pt5
_chemical_formula_sum 'Cu28 Pt20'
_cell_length_a 5.332
_cell_length_b 7.396
_cell_length_c 15.896
_cell_angle_alpha 90.00
_cell_angle_beta 90.00
_cell_angle_gamma 90.00
_symmetry_space_group_name_H-M 'F m m 2'
_symmetry_Int_Tables_number 42
_symmetry_space_group_name_Hall 'F 2 -2'
loop_
_atom_site_label
_atom_site_type_symbol
_atom_site_fract_x
_atom_site_fract_y
_atom_site_fract_z
_atom_site_occupancy
Cu1 Cu 0.000 0.000 0.000 1
Cu2 Cu 0.000 0.000 0.158 1
Cu3 Cu 0.000 0.000 0.499 1
Cu4 Cu 0.250 0.250 0.077 1
Cu5 Cu 0.250 0.250 0.421 1
Pt1 Pt 0.000 0.000 0.340 1
Pt2 Pt 0.000 0.000 0.655 1
Pt3 Pt 0.000 0.000 0.839 1
Pt4 Pt 0.250 0.250 0.244 1
# DOS(E_F)	0.690	states/eV per atom
# energy relative to the lowest polymorph listed for this composition	1.27	kcal/mol of atoms
# formation energy	-75	kJ/mol of formula units


12.
# CuPt2, optimized geometry, DFT PBEsol
data_CuPt2
_chemical_formula_sum 'Cu2 Pt4'
_cell_length_a 2.723
_cell_length_b 2.723
_cell_length_c 11.166
_cell_angle_alpha 90.00
_cell_angle_beta 90.00
_cell_angle_gamma 90.00
_symmetry_space_group_name_H-M 'I 4/m m m'
_symmetry_Int_Tables_number 139
_symmetry_space_group_name_Hall '-I 4 2'
loop_
_atom_site_label
_atom_site_type_symbol
_atom_site_fract_x
_atom_site_fract_y
_atom_site_fract_z
_atom_site_occupancy
Cu1 Cu 0.000 0.000 0.000 1
Pt1 Pt 0.000 0.000 0.340 1
# DOS(E_F)	1.412	states/eV per atom
# formation energy	-23	kJ/mol of formula units


What did the tenth record say?
# CuPt2, optimized geometry, DFT PBEsol
data_CuPt2
_chemical_formula_sum 'Cu2 Pt4'
_cell_length_a 2.705
_cell_length_b 3.788
_cell_length_c 8.172
_cell_angle_alpha 90.00
_cell_angle_beta 90.00
_cell_angle_gamma 90.00
_symmetry_space_group_name_H-M 'I m m m'
_symmetry_Int_Tables_number 71
_symmetry_space_group_name_Hall '-I 2 2'
loop_
_atom_site_label
_atom_site_type_symbol
_atom_site_fract_x
_atom_site_fract_y
_atom_site_fract_z
_atom_site_occupancy
Cu1 Cu 0.000 0.000 0.000 1
Pt1 Pt 0.000 0.000 0.337 1
# DOS(E_F)	1.505	states/eV per atom
# formation energy	-14	kJ/mol of formula units


Q: DOS(E_F) of number 6 (Cu7Pt5)?
A: 0.586 states/eV per atom


Q: Among the records above, which one has the highest DOS(E_F)?
A: number 10